Material: HgBi2Sb
Method: DFT, GGA-PBE
State: relaxed

Results
E_tot: -0.214 Ry/atom
ΔE to the lowest computed polymorph: 0.051 eV/atom
symmetry: Pna2_1, No. 33
uncorrected formation energy: 141 meV/atom

Lattice parameters (Å, degrees): 6.8077 5.9452 13.1843 90.00 90.00 90.00
With the nearest neighbours (Å) after each atom.
Atoms (fractional coordinates):
Hg 0.0959 0.9809 0.3352  2 Sb 3.13-3.18, 3 Bi 3.27-3.44
Hg 0.5959 0.0191 0.6648  2 Sb 3.13-3.18, 3 Bi 3.27-3.44
Hg 0.5959 0.5191 0.8352  2 Sb 3.13-3.18, 3 Bi 3.27-3.44
Hg 0.0959 0.4809 0.1648  2 Sb 3.13-3.18, 3 Bi 3.27-3.44
Bi 0.1848 0.1898 0.8145  1 Sb 3.02, 1 Bi 3.31
Bi 0.6848 0.8102 0.1855  1 Sb 3.02, 1 Bi 3.31
Bi 0.6848 0.3102 0.3145  1 Sb 3.02, 1 Bi 3.31
Bi 0.1848 0.6898 0.6855  1 Sb 3.02, 1 Bi 3.31
Bi 0.6679 0.2884 0.0573  2 Sb 3.07-3.10, 2 Hg 3.27-3.44, 2 Bi 3.31-3.40
Bi 0.1679 0.7116 0.9427  2 Sb 3.07-3.10, 2 Hg 3.27-3.44, 2 Bi 3.31-3.40
Bi 0.1679 0.2116 0.5573  2 Sb 3.07-3.10, 2 Hg 3.27-3.44, 2 Bi 3.31-3.40
Bi 0.6679 0.7884 0.4427  2 Sb 3.07-3.10, 2 Hg 3.27-3.44, 2 Bi 3.31-3.40
Sb 0.8013 0.9795 0.8804  3 Bi 3.02-3.10, 2 Hg 3.13-3.18
Sb 0.3013 0.0205 0.1196  3 Bi 3.02-3.10, 2 Hg 3.13-3.18
Sb 0.3013 0.5205 0.3804  3 Bi 3.02-3.10, 2 Hg 3.13-3.18
Sb 0.8013 0.4795 0.6196  3 Bi 3.02-3.10, 2 Hg 3.13-3.18

---

Material: Hg2BiSb
Method: DFT, GGA-PBE
State: relaxed

Results
E_tot: -0.150 Ry/atom
symmetry: R-3m, No. 166
uncorrected formation energy: 110 meV/atom

Lattice parameters (Å, degrees): 3.3933 3.3933 11.7208 81.68 81.68 60.00
With the nearest neighbours (Å) after each atom.
Atoms (fractional coordinates):
Sb 0.0000 0.0000 0.0000  2 Hg 2.96
Bi 0.5000 0.5000 0.5000  6 Bi 3.39, 6 Hg 3.43
Hg 0.0853 0.0853 0.7441  1 Sb 2.96
Hg 0.9147 0.9147 0.2559  1 Sb 2.96

---

Material: HgBi2Sb
Method: DFT, GGA-PBE
State: relaxed

Results
E_tot: -0.216 Ry/atom
ΔE to the lowest computed polymorph: 0.014 eV/atom
symmetry: R3m, No. 160
uncorrected formation energy: 104 meV/atom

Lattice parameters (Å, degrees): 4.2902 4.2902 8.3339 75.08 75.08 60.00
With the nearest neighbours (Å) after each atom.
Atoms (fractional coordinates):
Hg 0.4991 0.4991 0.5026  6 Bi 3.17-3.20
Bi 0.0827 0.0827 0.7520  3 Sb 3.16, 3 Hg 3.17
Bi 0.2508 0.2508 0.2476  3 Sb 3.18, 3 Hg 3.20
Sb 0.6674 0.6674 0.9979  6 Bi 3.16-3.18

---

Material: HgBiSb
Method: DFT, GGA-PBE
State: relaxed

Results
E_tot: -0.194 Ry/atom
ΔE to the lowest computed polymorph: 0.085 eV/atom
symmetry: F-43m, No. 216
uncorrected formation energy: 124 meV/atom

Lattice parameters (Å, degrees): 5.2470 5.2470 5.2470 60.00 60.00 60.00
With the nearest neighbours (Å) after each atom.
Atoms (fractional coordinates):
Sb 0.2500 0.2500 0.2500  4 Hg 3.21, 4 Bi 3.21
Bi 0.0000 0.0000 0.0000  4 Sb 3.21
Hg 0.5000 0.5000 0.5000  4 Sb 3.21

---

Material: HgBi2Sb2
Method: DFT, GGA-PBE
State: relaxed

Results
E_tot: -0.228 Ry/atom
ΔE to the lowest computed polymorph: 0.102 eV/atom
symmetry: I4/mmm, No. 139
uncorrected formation energy: 165 meV/atom

Lattice parameters (Å, degrees): 5.5059 5.5059 7.2989 67.84 67.84 90.00
With the nearest neighbours (Å) after each atom.
Atoms (fractional coordinates):
Sb 0.3709 0.3709 0.2583  4 Bi 3.13, 1 Sb 3.19
Sb 0.6291 0.6291 0.7417  4 Bi 3.13, 1 Sb 3.19
Bi 0.7500 0.2500 0.5000  4 Sb 3.13
Bi 0.2500 0.7500 0.5000  4 Sb 3.13
Hg 0.0000 0.0000 0.0000  8 Bi 4.14, 10 Sb 4.21-4.58

---

Material: HgBiSb3
Method: DFT, GGA-PBE
State: relaxed

Results
E_tot: -0.180 Ry/atom
ΔE to the lowest computed polymorph: 0.130 eV/atom
symmetry: Pm-3m, No. 221
uncorrected formation energy: 863 meV/atom

Lattice parameters (Å, degrees): 5.9271 5.9271 5.9271 90.00 90.00 90.00
With the nearest neighbours (Å) after each atom.
Atoms (fractional coordinates):
Sb 0.0000 0.5000 0.0000  2 Bi 2.96
Sb 0.0000 0.0000 0.5000  2 Bi 2.96
Sb 0.5000 0.0000 0.0000  2 Bi 2.96
Bi 0.0000 0.0000 0.0000  6 Sb 2.96
Hg 0.5000 0.5000 0.5000  12 Sb 4.19

---

Material: HgBiSb
Method: DFT, GGA-PBE
State: relaxed

Results
E_tot: -0.197 Ry/atom
ΔE to the lowest computed polymorph: 0.051 eV/atom
symmetry: P3m1, No. 156
uncorrected formation energy: 90 meV/atom

Lattice parameters (Å, degrees): 3.2975 5.5409 5.5409 120.00 90.00 90.00
With the nearest neighbours (Å) after each atom.
Atoms (fractional coordinates):
Sb 0.1570 0.0000 0.0000  3 Bi 3.20, 2 Sb 3.30, 3 Hg 3.58
Bi 0.1757 0.3333 0.6667  3 Sb 3.20, 2 Bi 3.30
Hg 0.6673 0.6667 0.3333  2 Hg 3.30, 6 Sb 3.58-3.61, 6 Bi 3.59-3.61

---

Material: HgBi2Sb2
Method: DFT, GGA-PBE
State: relaxed

Results
E_tot: -0.235 Ry/atom
ΔE to the lowest computed polymorph: 0.000 eV/atom
symmetry: P-1, No. 2
uncorrected formation energy: 62 meV/atom

Lattice parameters (Å, degrees): 8.3805 7.3257 8.3275 127.26 30.53 140.19
With the nearest neighbours (Å) after each atom.
Atoms (fractional coordinates):
Hg 0.0000 0.0000 0.0000  2 Sb 3.01, 2 Bi 3.37
Bi 0.8232 0.2062 0.6078  3 Sb 3.02-3.22, 1 Bi 3.34, 1 Hg 3.37
Bi 0.1768 0.7938 0.3922  3 Sb 3.02-3.22, 1 Bi 3.34, 1 Hg 3.37
Sb 0.3914 0.5808 0.8133  1 Hg 3.01, 3 Bi 3.02-3.22
Sb 0.6086 0.4192 0.1867  1 Hg 3.01, 3 Bi 3.02-3.22

---

Material: HgBiSb
Method: DFT, GGA-PBE
State: relaxed

Results
E_tot: -0.200 Ry/atom
ΔE to the lowest computed polymorph: 0.012 eV/atom
symmetry: P-1, No. 2
uncorrected formation energy: 51 meV/atom

Lattice parameters (Å, degrees): 4.2986 7.3848 8.4408 55.37 90.04 90.05
With the nearest neighbours (Å) after each atom.
Atoms (fractional coordinates):
Hg 0.7509 0.2689 0.7288  3 Sb 3.57-3.59, 3 Bi 3.61-3.69
Hg 0.2491 0.7311 0.2712  3 Sb 3.57-3.59, 3 Bi 3.61-3.69
Bi 0.7502 0.6685 0.9612  1 Sb 3.00, 2 Bi 3.06
Bi 0.2498 0.3315 0.0388  1 Sb 3.00, 2 Bi 3.06
Sb 0.7498 0.8442 0.5421  2 Sb 2.93, 1 Bi 3.00
Sb 0.2502 0.1558 0.4579  2 Sb 2.93, 1 Bi 3.00

---

Material: HgBiSb3
Method: DFT, GGA-PBE
State: relaxed

Results
E_tot: -0.189 Ry/atom
ΔE to the lowest computed polymorph: 0.000 eV/atom
symmetry: Pm-3m, No. 221
uncorrected formation energy: 732 meV/atom

Lattice parameters (Å, degrees): 5.5348 5.5348 5.5348 90.00 90.00 90.00
With the nearest neighbours (Å) after each atom.
Atoms (fractional coordinates):
Sb 0.0000 0.5000 0.0000  2 Hg 2.77
Sb 0.0000 0.0000 0.5000  2 Hg 2.77
Sb 0.5000 0.0000 0.0000  2 Hg 2.77
Bi 0.5000 0.5000 0.5000  12 Sb 3.91
Hg 0.0000 0.0000 0.0000  6 Sb 2.77

---

Material: SnHgBiSb
Method: DFT, GGA-PBE
State: relaxed

Results
E_tot: -0.218 Ry/atom
ΔE to the lowest computed polymorph: 0.005 eV/atom
symmetry: F-43m, No. 216
uncorrected formation energy: 104 meV/atom

Lattice parameters (Å, degrees): 5.4326 5.4326 5.4326 60.00 60.00 60.00
With the nearest neighbours (Å) after each atom.
Atoms (fractional coordinates):
Sb 0.0000 0.0000 0.0000  4 Sn 3.33, 4 Bi 3.33
Bi 0.2500 0.2500 0.2500  4 Hg 3.33, 4 Sb 3.33
Sn 0.7500 0.7500 0.7500  4 Hg 3.33, 4 Sb 3.33
Hg 0.5000 0.5000 0.5000  4 Sn 3.33, 4 Bi 3.33

---

Material: SnHgBiSb
Method: DFT, GGA-PBE
State: relaxed

Results
E_tot: -0.219 Ry/atom
ΔE to the lowest computed polymorph: 0.000 eV/atom
symmetry: Cm, No. 8
uncorrected formation energy: 99 meV/atom

Lattice parameters (Å, degrees): 4.2626 4.7262 7.3152 98.95 90.00 116.81
With the nearest neighbours (Å) after each atom.
Atoms (fractional coordinates):
Sn 0.0059 0.0118 0.2278  3 Sb 2.99-3.12, 3 Hg 3.09-3.29
Hg 0.3741 0.7483 0.4682  3 Bi 3.04-3.25, 3 Sn 3.09-3.29
Bi 0.1153 0.2305 0.7090  3 Hg 3.04-3.25, 2 Sb 3.05
Sb 0.6709 0.3417 0.0120  3 Sn 2.99-3.12, 2 Bi 3.05